ZnCr2Tc | GGA-PBE | optimized geometry

crystal system = tetragonal
uncorrected energy = -6.997 eV/atom
SG = I-42d, No. 122
calculated volume = 14.5 Å³/atom

Unit cell a=6.743 b=6.743 c=5.405 alpha=51.40 beta=51.40 gamma=90.00
Positions (direct):
Zn 0.250 0.750 0.500
Zn 0.500 0.500 0.000
Cr 0.094 0.625 0.250
Cr 0.656 0.125 0.250
Cr 0.375 0.344 0.750
Cr 0.875 0.906 0.750
Tc 0.000 0.000 0.000
Tc 0.750 0.250 0.500

CsZn2Cu | GGA-PBE | optimized geometry

crystal system = cubic
uncorrected energy = -1.311 eV/atom
SG = Fm-3m, No. 225
calculated volume = 28.7 Å³/atom

Unit cell a=5.453 b=5.453 c=5.453 alpha=60.00 beta=60.00 gamma=60.00
Positions (direct):
Zn 0.250 0.250 0.250
Zn 0.750 0.750 0.750
Cs 0.500 0.500 0.500
Cu 0.000 0.000 0.000

Record order is preserved below.
Formation energy from the elements: 0.725 0.563 eV per atom